{"formula": "ScGa2TcCl", "functional": "PBE-GGA", "state": "optimized geometry", "total_energy_ev_per_atom": -4.16, "m_tot_mub_per_fu": 3.194, "spacegroup": "P4/mmm (123)", "lattice": [[5.3164, 0.0000, 0.0000], [0.0000, 5.3164, 0.0000], [0.0000, 0.0000, 4.7095]], "species": ["Sc", "Ga", "Ga", "Tc", "Cl"], "frac_coords": [[0.0000, 0.0000, 0.0000], [0.0000, 0.5000, 0.0000], [0.5000, 0.0000, 0.0000], [0.5000, 0.5000, 0.5000], [0.0000, 0.0000, 0.5000]]}